A relaxed GeSbSeBr2 crystal, computed with GGA-PBEsol.

Values from the calculation:
Crystal system ... tetragonal
Total moment ... 0.0004 μB per atom
Final energy ... -3.27 eV/atom
Energy relative to the elements, uncorrected ... 0.7 eV per formula unit

Cell and atoms, written as extended XYZ:
```
5
Lattice="5.066 0.000 0.000 0.000 5.066 0.000 0.000 0.000 5.160" Properties=species:S:1:pos:R:3 pbc="T T T"
Ge 0.000 0.000 0.000
Sb 2.533 2.533 2.580
Se 0.000 0.000 2.580
Br 0.000 2.533 0.000
Br 2.533 0.000 0.000
```



A relaxed MgMoRu2 crystal, computed with GGA-PBEsol.

Values from the calculation:
Crystal system ... tetragonal
Energy of formation ... 224 meV/atom
Total moment ... 0.0002 μB per atom
Final energy ... -8.23 eV/atom

Cell and atoms, written as extended XYZ:
```
4
Lattice="2.701 0.000 0.000 0.000 2.701 0.000 0.000 0.000 8.214" Properties=species:S:1:pos:R:3 pbc="T T T"
Mg 0.000 0.000 0.000
Mo 1.350 1.350 2.328
Ru 0.000 0.000 4.434
Ru 1.350 1.350 6.127
```



A relaxed ZrPt2Cl crystal, computed with GGA-PBEsol.

Values from the calculation:
E above lowest polymorph ... 0.143 eV/atom
Crystal system ... cubic
Total moment ... 0.0000 μB per atom
Final energy ... -6.71 eV/atom
Energy relative to the elements, uncorrected ... -1.8 eV per formula unit

Cell and atoms, written as extended XYZ:
```
4
Lattice="0.000 3.217 3.217 3.217 0.000 3.217 3.217 3.217 0.000" Properties=species:S:1:pos:R:3 pbc="T T T"
Zr 0.000 0.000 0.000
Pt 1.609 1.609 1.609
Pt 3.217 3.217 3.217
Cl 4.826 4.826 4.826
```



A relaxed TaHCl2 crystal, computed with GGA-PBEsol.

Values from the calculation:
Crystal system ... cubic
Total moment ... 0.2083 μB per atom
Final energy ... -4.78 eV/atom

Cell and atoms, written as extended XYZ:
```
4
Lattice="0.000 2.978 2.978 2.978 0.000 2.978 2.978 2.978 0.000" Properties=species:S:1:pos:R:3 pbc="T T T"
Ta 0.000 0.000 0.000
H 2.978 2.978 2.978
Cl 1.489 1.489 1.489
Cl 4.467 4.467 4.467
```



A relaxed LiCdIr2 crystal, computed with GGA-PBEsol.

Values from the calculation:
Crystal system ... orthorhombic
Energy of formation ... 183 meV/atom
Total moment ... 0.0000 μB per atom
Final energy ... -5.52 eV/atom

Cell and atoms, written as extended XYZ:
```
4
Lattice="1.378 -2.361 0.000 1.378 2.361 0.000 0.000 0.000 9.405" Properties=species:S:1:pos:R:3 pbc="T T T"
Li 0.000 0.000 0.000
Cd 1.378 0.000 2.531
Ir 0.000 0.000 5.008
Ir 1.378 0.000 7.262
```



A relaxed SiHg2Te crystal, computed with GGA-PBEsol.

Values from the calculation:
E above lowest polymorph ... 0.000 eV/atom
Crystal system ... orthorhombic
Total moment ... 0.0000 μB per atom
Final energy ... -2.31 eV/atom
Energy relative to the elements, uncorrected ... 1.2 eV per formula unit

Cell and atoms, written as extended XYZ:
```
4
Lattice="-1.529 2.468 6.283 1.529 -2.468 6.283 1.529 2.468 -6.283" Properties=species:S:1:pos:R:3 pbc="T T T"
Si 0.000 0.000 0.000
Hg 1.529 0.000 2.522
Hg 0.000 2.468 3.761
Te 0.000 0.000 6.283
```



Copy entry 6 word for word.
A relaxed SiHg2Te crystal, computed with GGA-PBEsol.

Values from the calculation:
E above lowest polymorph ... 0.000 eV/atom
Crystal system ... orthorhombic
Total moment ... 0.0000 μB per atom
Final energy ... -2.31 eV/atom
Energy relative to the elements, uncorrected ... 1.2 eV per formula unit

Cell and atoms, written as extended XYZ:
```
4
Lattice="-1.529 2.468 6.283 1.529 -2.468 6.283 1.529 2.468 -6.283" Properties=species:S:1:pos:R:3 pbc="T T T"
Si 0.000 0.000 0.000
Hg 1.529 0.000 2.522
Hg 0.000 2.468 3.761
Te 0.000 0.000 6.283
```



Q: The highest total moment belongs to which entry?
A: TaHCl2



Q: total moment of number 5 (LiCdIr2)?
A: 0.0000 μB per atom